No. 1
This record from Alexandria describes a PBEsol-optimized structure of Sc2SI. The functional is SCAN.

Cell lengths 7.3943, 7.3943, 7.3943 Å; angles 131.49, 131.49, 71.03 degrees
Atoms (fractional coordinates):
Sc 0.0642 0.6250 0.9392
Sc 0.3750 0.3142 0.4392
Sc 0.6858 0.1250 0.0608
Sc 0.8750 0.9358 0.5608
S 0.0000 0.0000 0.0000
S 0.7500 0.2500 0.5000
I 0.2500 0.7500 0.5000
I 0.5000 0.5000 0.0000

Output
uncorrected energy	-157.420	eV per cell
M_tot	0.00	μB/f.u.
uncorrected formation energy	-3.9	eV per formula unit
crystal system	tetragonal


No. 2
This record from Alexandria describes a PBEsol-optimized structure of K2CaReCl. The functional is SCAN.

Cell lengths 6.6610, 6.6610, 4.3678 Å; angles 90.00, 90.00, 90.00 degrees
Atoms (fractional coordinates):
K 0.0000 0.5000 0.0000
K 0.5000 0.0000 0.0000
Ca 0.0000 0.0000 0.5000
Re 0.5000 0.5000 0.0000
Cl 0.5000 0.5000 0.5000

Output
uncorrected energy	-101.081	eV per cell
M_tot	1.31	μB/f.u.
uncorrected formation energy	4.3	eV per formula unit
crystal system	tetragonal


No. 3
This record from Alexandria describes a PBEsol-optimized structure of Sc2CoHg. The functional is SCAN.

Cell lengths 5.7422, 5.7422, 5.7422 Å; angles 148.05, 133.23, 57.76 degrees
Atoms (fractional coordinates):
Sc 0.0000 0.0000 0.0000
Sc 0.7011 0.2011 0.5000
Co 0.2017 0.7017 0.5000
Hg 0.4169 0.4169 0.0000

Output
uncorrected energy	-115.086	eV per cell
ΔH_f (0 K)	-1.1	eV/f.u.
M_tot	0.79	μB/f.u.
crystal system	orthorhombic


No. 4
This record from Alexandria describes a PBEsol-optimized structure of TlCuRe2. The functional is SCAN.

Cell lengths 4.4170, 4.4170, 4.4170 Å; angles 60.00, 60.00, 60.00 degrees
Atoms (fractional coordinates):
Tl 0.0000 0.0000 0.0000
Cu 0.5000 0.5000 0.5000
Re 0.2500 0.2500 0.2500
Re 0.7500 0.7500 0.7500

Output
uncorrected energy	-224.907	eV per cell
ΔH_f (0 K)	4.8	eV/f.u.
M_tot	0.00	μB/f.u.
E above lowest polymorph	0.541	eV/atom
crystal system	cubic


Question: What is the uncorrected energy in the first record?
Answer: -157.420 eV per cell


Question: Which value of uncorrected energy does entry 4 give?
Answer: -224.907 eV per cell


Please write out number 3 again, unchanged.
This record from Alexandria describes a PBEsol-optimized structure of Sc2CoHg. The functional is SCAN.

Cell lengths 5.7422, 5.7422, 5.7422 Å; angles 148.05, 133.23, 57.76 degrees
Atoms (fractional coordinates):
Sc 0.0000 0.0000 0.0000
Sc 0.7011 0.2011 0.5000
Co 0.2017 0.7017 0.5000
Hg 0.4169 0.4169 0.0000

Output
uncorrected energy	-115.086	eV per cell
ΔH_f (0 K)	-1.1	eV/f.u.
M_tot	0.79	μB/f.u.
crystal system	orthorhombic